[1]
CeDyHo2Bi4 | PBE | optimized geometry

The formation energy comes out at -0.830 eV/atom. Its density of states at the Fermi level is 7.00 states/eV per cell. The crystal system is monoclinic. For the total energy, the calculation gives -5.232 eV per atom.

a = 4.5060 Å, b = 7.7908 Å, c = 7.7938 Å
α = 70.53°, β = 90.00°, γ = 90.00°
Last column: nearest neighbours and their distance in Å.
Atoms (fractional coordinates):
Ce  0.5000  0.5000  0.0000  6 Bi 3.21-3.22
Dy  0.0000  0.5000  0.5000  6 Bi 3.19
Ho  0.0000  0.0000  0.0000  6 Bi 3.18
Ho  0.5000  0.0000  0.5000  6 Bi 3.15
Bi  0.0000  0.7555  0.7451  3 Ho 3.15-3.18, 1 Dy 3.19, 2 Ce 3.22
Bi  0.0000  0.2445  0.2549  3 Ho 3.15-3.18, 1 Dy 3.19, 2 Ce 3.22
Bi  0.5000  0.7531  0.2516  3 Ho 3.15-3.18, 2 Dy 3.19, 1 Ce 3.21
Bi  0.5000  0.2469  0.7484  3 Ho 3.15-3.18, 2 Dy 3.19, 1 Ce 3.21

---

[2]
Fe4Se3N2 | PBE | optimized geometry

Its density of states at the Fermi level is 15.69 states/eV per cell. The crystal system is orthorhombic. The excess energy over the best structure of this formula in the dataset comes out at 96 meV per atom. For the total energy, the calculation gives -6.691 eV per atom. The raw formation energy comes out at 0.08 eV/atom.

a = 6.3224 Å, b = 12.7170 Å, c = 3.2879 Å
α = 90.00°, β = 90.00°, γ = 90.00°
Last column: nearest neighbours and their distance in Å.
Atoms (fractional coordinates):
Fe  0.6690  0.9393  0.5000  2 N 1.86-1.89
Fe  0.3310  0.0607  0.5000  2 N 1.86-1.89
Fe  0.1690  0.5607  0.0000  2 N 1.86-1.89
Fe  0.8310  0.4393  0.0000  2 N 1.86-1.89
Fe  0.8008  0.6373  0.5000  2 N 1.84
Fe  0.1992  0.3627  0.5000  2 N 1.84
Fe  0.3008  0.8627  0.0000  2 N 1.84
Fe  0.6992  0.1373  0.0000  2 N 1.84
Se  0.5000  0.5000  0.5000  6 Fe 2.58-2.77
Se  0.0000  0.0000  0.0000  6 Fe 2.58-2.77
Se  0.8439  0.2825  0.5000  5 Fe 2.47-2.64
Se  0.1561  0.7175  0.5000  5 Fe 2.47-2.64
Se  0.3439  0.2175  0.0000  5 Fe 2.47-2.64
Se  0.6561  0.7825  0.0000  5 Fe 2.47-2.64
N  0.6260  0.0838  0.5000  4 Fe 1.84-1.89
N  0.3740  0.9162  0.5000  4 Fe 1.84-1.89
N  0.1260  0.4162  0.0000  4 Fe 1.84-1.89
N  0.8740  0.5838  0.0000  4 Fe 1.84-1.89

---

[3]
Y3Ho5Tm4 | PBE | optimized geometry

The formation energy comes out at 0.261 eV/atom. Its density of states at the Fermi level is 20.17 states/eV per cell. The crystal system is monoclinic. The excess energy over the best structure of this formula in the dataset comes out at 235 meV per atom. For the total energy, the calculation gives -4.753 eV per atom.

a = 5.8000 Å, b = 8.5095 Å, c = 9.5202 Å
α = 105.81°, β = 72.26°, γ = 70.07°
Last column: nearest neighbours and their distance in Å.
Atoms (fractional coordinates):
Y  0.5212  0.6876  0.2701  5 Ho 3.04-3.40, 1 Tm 3.29
Y  0.0000  0.5000  0.5000  2 Ho 2.90
Y  0.4788  0.3124  0.7299  5 Ho 3.04-3.40, 1 Tm 3.29
Ho  0.6252  0.9488  0.8008  2 Y 3.23-3.48, 1 Ho 3.35, 2 Tm 3.57
Ho  0.5000  0.5000  0.5000  4 Y 2.90-3.04
Ho  0.2133  0.4600  0.1134  4 Y 3.17-3.40, 3 Tm 3.40-3.52
Ho  0.7867  0.5400  0.8866  4 Y 3.17-3.40, 3 Tm 3.40-3.52
Ho  0.3748  0.0512  0.1992  2 Y 3.23-3.48, 1 Ho 3.35, 2 Tm 3.57
Tm  0.8598  0.2206  0.0598  2 Tm 3.23-3.61, 3 Ho 3.40-3.52, 1 Y 3.41
Tm  0.1639  0.0493  0.6228  3 Y 3.29-3.47, 3 Tm 3.54-3.61, 3 Ho 3.57-3.64
Tm  0.8361  0.9507  0.3772  3 Y 3.29-3.47, 3 Tm 3.54-3.61, 3 Ho 3.57-3.64
Tm  0.1402  0.7794  0.9402  2 Tm 3.23-3.61, 3 Ho 3.40-3.52, 1 Y 3.41

---

[4]
SrLaY2Ir | PBE | optimized geometry

The formation energy comes out at -0.337 eV/atom. Its density of states at the Fermi level is 5.06 states/eV per cell. The crystal system is tetragonal. For the total energy, the calculation gives -6.017 eV per atom.

a = 5.6187 Å, b = 5.6187 Å, c = 5.6139 Å
α = 90.00°, β = 90.00°, γ = 90.00°
Last column: nearest neighbours and their distance in Å.
Atoms (fractional coordinates):
Y  0.0000  0.5000  0.0000  2 Ir 2.81
Y  0.5000  0.0000  0.0000  2 Ir 2.81
Sr  0.5000  0.5000  0.5000  8 Y 3.97, 4 La 3.97
Ir  0.0000  0.0000  0.0000  2 La 2.81, 4 Y 2.81
La  0.0000  0.0000  0.5000  2 Ir 2.81

---

- What is the formula in the third record?
  Y3Ho5Tm4

---

- Look up the total energy of the third one.
  -4.753 eV per atom